Entry from Alexandria: a relaxed YNb3As crystal (PBE).

Its polymorph energy (0 for the lowest one) is 0 meV per atom. The formation energy is 0.335 eV per atom.

The structure belongs to space group Pm-3m (No. 221); the cell edges are 4.857, 4.857 and 4.857 Å and the angles 90.00°, 90.00° and 90.00°. The inequivalent atoms are Y at (0.000, 0.000, 0.000), Nb at (0.000, 0.500, 0.500) and As at (0.500, 0.500, 0.500).